Record 1
This record from the Alexandria database describes an optimized crystal structure of Ba3Pb2Au4. The functional is PBE.

Raw total energy ... -3.5261 eV/atom
Fermi-level density of states ... 0.493 states/eV/atom
Magnetic moment ... 0.00 Bohr magnetons per cell

Lattice parameters (Å, degrees): 4.8899 6.7567 9.8985 111.10 90.00 111.21
Last column: nearest neighbours and their distance in Å.
Fractional positions:
Ba  0.6315  0.2629  0.6969  7 Au 3.32-3.50, 3 Pb 3.62-3.66
Ba  0.0000  0.0000  0.0000  8 Au 3.57-3.94
Ba  0.3685  0.7371  0.3031  7 Au 3.32-3.50, 3 Pb 3.62-3.66
Pb  0.6692  0.3385  0.3399  4 Au 2.93-3.08
Pb  0.3308  0.6615  0.6601  4 Au 2.93-3.08
Au  0.7205  0.4411  0.0598  2 Au 2.93, 1 Pb 3.08
Au  0.2795  0.5589  0.9402  2 Au 2.93, 1 Pb 3.08
Au  0.9159  0.8318  0.5735  3 Pb 2.93-3.07, 1 Au 3.00
Au  0.0841  0.1682  0.4265  3 Pb 2.93-3.07, 1 Au 3.00


Record 2
This record from the Alexandria database describes an optimized crystal structure of NaCu2SnC. The functional is PBE.

Raw total energy ... -2.7680 eV/atom
Fermi-level density of states ... 0.527 states/eV/atom
Magnetic moment ... 0.25 Bohr magnetons per cell

Lattice parameters (Å, degrees): 4.6005 4.2844 4.6005 90.00 90.00 90.00
Last column: nearest neighbours and their distance in Å.
Fractional positions:
Na  0.0000  0.0000  0.0000  2 C 2.14, 4 Cu 2.30
C  0.0000  0.5000  0.0000  2 Na 2.14
Sn  0.5000  0.5000  0.5000  8 Cu 3.14, 4 C 3.25
Cu  0.0000  0.0000  0.5000  2 Na 2.30
Cu  0.5000  0.0000  0.0000  2 Na 2.30


Record 3
This record from the Alexandria database describes an optimized crystal structure of CaLa2Pt. The functional is PBE.

Raw total energy ... -4.9619 eV/atom
Fermi-level density of states ... 1.118 states/eV/atom
Polymorph energy (0 for the lowest one) ... 98.3 meV per atom
Magnetic moment ... 0.00 Bohr magnetons per cell

Lattice parameters (Å, degrees): 6.8971 6.8971 5.5224 66.47 66.47 31.89
Last column: nearest neighbours and their distance in Å.
Fractional positions:
Ca  0.1889  0.1889  0.3131  2 Pt 3.00
Pt  0.4962  0.4962  0.4973  2 La 2.90, 2 Ca 3.00
La  0.0009  0.0009  0.0017  4 Pt 3.31-3.39, 2 La 3.56, 2 Ca 3.57-3.58
La  0.8140  0.8140  0.6879  2 Pt 2.90